Record 1
The following is a DFT calculation (PBE) of a relaxed ZnSnGe2O6 crystal.

As for the density of states at the Fermi level: 0.000 states/eV/atom. The value obtained for the energy is -5.901 eV per atom. Its uncorrected formation energy is -1.48 eV/atom.

The space group is C2/c (No. 15) and the conventional cell measures 11.0581, 10.4019 and 5.7129 Å, with angles of 90.00, 109.82 and 90.00 degrees. The distinct sites, in fractional coordinates, are Zn at (0.0000, 0.2212, 0.2500), Sn at (0.0000, 0.3496, 0.7500), Ge at (0.2235, 0.0928, 0.6946), O at (0.0845, 0.1921, 0.6074), O at (0.1351, 0.3221, 0.1587) and O at (0.2086, 0.0365, 0.3879).

Record 2
The following is a DFT calculation (PBE) of a relaxed SrGe3O crystal.

As for the density of states at the Fermi level: 0.516 states/eV/atom. The value obtained for the energy is -4.369 eV per atom. The energy relative to the lowest polymorph listed for this composition comes out at 0.0 kJ per mole of atoms. Its uncorrected formation energy is -0.27 eV/atom.

The space group is Pm-3m (No. 221) and the conventional cell measures 4.6477, 4.6477 and 4.6477 Å, with angles of 90.00, 90.00 and 90.00 degrees. The distinct sites, in fractional coordinates, are Sr at (0.0000, 0.0000, 0.0000), Ge at (0.0000, 0.5000, 0.5000) and O at (0.5000, 0.5000, 0.5000).

Record 3
The following is a DFT calculation (PBE) of a relaxed Sr2GeO crystal.

As for the density of states at the Fermi level: 0.010 states/eV/atom. The value obtained for the energy is -4.565 eV per atom. The energy relative to the lowest polymorph listed for this composition comes out at 0.0 kJ per mole of atoms. Its uncorrected formation energy is -1.33 eV/atom.

The space group is I-42d (No. 122) and the conventional cell measures 7.2131, 7.2131 and 8.7001 Å, with angles of 90.00, 90.00 and 90.00 degrees. The distinct sites, in fractional coordinates, are Sr at (0.1557, 0.7500, 0.1250), Ge at (0.0000, 0.0000, 0.5000) and O at (0.0000, 0.0000, 0.0000).

Record 4
The following is a DFT calculation (PBE) of a relaxed SrGe3O crystal.

As for the density of states at the Fermi level: 4.813 states/eV/atom. The value obtained for the energy is -2.361 eV per atom. The energy relative to the lowest polymorph listed for this composition comes out at 193.7 kJ per mole of atoms. Its uncorrected formation energy is 1.74 eV/atom.

The space group is Pm-3m (No. 221) and the conventional cell measures 5.7946, 5.7946 and 5.7946 Å, with angles of 90.00, 90.00 and 90.00 degrees. The distinct sites, in fractional coordinates, are Sr at (0.0000, 0.0000, 0.0000), Ge at (0.0000, 0.0000, 0.5000) and O at (0.5000, 0.5000, 0.5000).

Record 5
The following is a DFT calculation (PBE) of a relaxed Sr2Ge2O5 crystal.

As for the density of states at the Fermi level: 0.159 states/eV/atom. The value obtained for the energy is -6.174 eV per atom. The energy relative to the lowest polymorph listed for this composition comes out at 0.0 kJ per mole of atoms. Its uncorrected formation energy is -2.02 eV/atom.

The space group is P4/mmm (No. 123) and the conventional cell measures 4.0333, 4.0333 and 7.4007 Å, with angles of 90.00, 90.00 and 90.00 degrees. The distinct sites, in fractional coordinates, are Sr at (0.0000, 0.0000, 0.0000), Sr at (0.0000, 0.0000, 0.5000), Ge at (0.5000, 0.5000, 0.2443), O at (0.0000, 0.5000, 0.2321) and O at (0.5000, 0.5000, 0.5000).

Record 6
The following is a DFT calculation (PBE) of a relaxed SrGeO3 crystal.

As for the density of states at the Fermi level: 1.092 states/eV/atom. The value obtained for the energy is -4.472 eV per atom. Its uncorrected formation energy is -0.24 eV/atom.

The space group is Pm-3m (No. 221) and the conventional cell measures 4.4489, 4.4489 and 4.4489 Å, with angles of 90.00, 90.00 and 90.00 degrees. The distinct sites, in fractional coordinates, are Sr at (0.0000, 0.0000, 0.0000), Ge at (0.5000, 0.5000, 0.5000) and O at (0.0000, 0.0000, 0.5000).

Record 7
The following is a DFT calculation (PBE) of a relaxed SrGeO3 crystal.

As for the density of states at the Fermi level: 0.000 states/eV/atom. The value obtained for the energy is -6.562 eV per atom. Its uncorrected formation energy is -2.33 eV/atom.

The space group is C2/c (No. 15) and the conventional cell measures 12.7239, 7.3657 and 11.3710 Å, with angles of 90.00, 111.42 and 90.00 degrees. The distinct sites, in fractional coordinates, are Sr at (0.0864, 0.2424, 0.4994), Sr at (0.2500, 0.2500, 0.0000), Ge at (0.0000, 0.1573, 0.7500), Ge at (0.1294, 0.4523, 0.2463), O at (0.0000, 0.3488, 0.2500), O at (0.0507, 0.0621, 0.8993), O at (0.1167, 0.3006, 0.7485), O at (0.1253, 0.4065, 0.0952) and O at (0.2272, 0.4043, 0.3951).

Record 8
The following is a DFT calculation (PBE) of a relaxed Sr2Ge3O8 crystal.

As for the density of states at the Fermi level: 0.000 states/eV/atom. The value obtained for the energy is -6.491 eV per atom. Its uncorrected formation energy is -2.12 eV/atom.

The space group is C2/m (No. 12) and the conventional cell measures 11.8668, 6.0729 and 5.0418 Å, with angles of 90.00, 110.01 and 90.00 degrees. The distinct sites, in fractional coordinates, are Sr at (0.2212, 0.0000, 0.1686), Ge at (0.0000, 0.2357, 0.5000), Ge at (0.0000, 0.5000, 0.0000), O at (0.0916, 0.2823, 0.8831), O at (0.0946, 0.5000, 0.3968) and O at (0.1025, 0.0000, 0.4755).

Record 9
The following is a DFT calculation (PBE) of a relaxed Sr2GeO crystal.

As for the density of states at the Fermi level: 0.999 states/eV/atom. The value obtained for the energy is -4.242 eV per atom. The energy relative to the lowest polymorph listed for this composition comes out at 31.2 kJ per mole of atoms. Its uncorrected formation energy is -1.01 eV/atom.

The space group is R-3m (No. 166, hexagonal axes) and the conventional cell measures 3.7370, 3.7370 and 27.1913 Å, with angles of 90.00, 90.00 and 120.00 degrees. The distinct sites, in fractional coordinates, are Sr at (0.0000, 0.0000, 0.1125), Ge at (0.0000, 0.0000, 0.0000) and O at (0.0000, 0.0000, 0.5000).

Record 10
The following is a DFT calculation (PBE) of a relaxed SrGeO crystal.

As for the density of states at the Fermi level: 0.176 states/eV/atom. The value obtained for the energy is -4.943 eV per atom. Its uncorrected formation energy is -1.19 eV/atom.

The space group is Cmce (No. 64) and the conventional cell measures 5.4061, 11.9075 and 8.3515 Å, with angles of 90.00, 90.00 and 90.00 degrees. The distinct sites, in fractional coordinates, are Sr at (0.0000, 0.1439, 0.0941), Ge at (0.0000, 0.1032, 0.6756) and O at (0.2500, 0.0076, 0.2500).

Record 11
The following is a DFT calculation (PBE) of a relaxed SrGeO3 crystal.

As for the density of states at the Fermi level: 0.000 states/eV/atom. The value obtained for the energy is -6.515 eV per atom. Its uncorrected formation energy is -2.28 eV/atom.

The space group is C2/c (No. 15) and the conventional cell measures 10.8517, 10.4172 and 5.6290 Å, with angles of 90.00, 101.02 and 90.00 degrees. The distinct sites, in fractional coordinates, are Sr at (0.0000, 0.1017, 0.2500), Sr at (0.0000, 0.3218, 0.7500), Ge at (0.2155, 0.4085, 0.2610), O at (0.1215, 0.1003, 0.6737), O at (0.1307, 0.2739, 0.1546) and O at (0.1545, 0.4689, 0.5257).

Record 12
The following is a DFT calculation (PBE) of a relaxed Sr4GeO2 crystal.

As for the density of states at the Fermi level: 0.252 states/eV/atom. The value obtained for the energy is -4.673 eV per atom. Its uncorrected formation energy is -1.64 eV/atom.

The space group is Cmcm (No. 63) and the conventional cell measures 4.0081, 12.8360 and 13.2889 Å, with angles of 90.00, 90.00 and 90.00 degrees. The distinct sites, in fractional coordinates, are Sr at (0.0000, 0.0000, 0.0000), Sr at (0.0000, 0.2681, 0.1054), Sr at (0.0000, 0.4273, 0.7500), Ge at (0.0000, 0.1114, 0.7500) and O at (0.0000, 0.3644, 0.5554).

Record 13
The following is a DFT calculation (PBE) of a relaxed Sr2Ge2O5 crystal.

As for the density of states at the Fermi level: 0.032 states/eV/atom. The value obtained for the energy is -6.111 eV per atom. The energy relative to the lowest polymorph listed for this composition comes out at 6.1 kJ per mole of atoms. Its uncorrected formation energy is -1.96 eV/atom.

The space group is C2/m (No. 12) and the conventional cell measures 11.8119, 4.0981 and 6.1779 Å, with angles of 90.00, 113.00 and 90.00 degrees. The distinct sites, in fractional coordinates, are Sr at (0.1106, 0.0000, 0.3026), Ge at (0.1468, 0.5000, 0.8548), O at (0.0000, 0.5000, 0.0000), O at (0.1615, 0.5000, 0.5697) and O at (0.1793, 0.0000, 0.9397).

Record 14
The following is a DFT calculation (PBE) of a relaxed Sr3Ge2O6 crystal.

As for the density of states at the Fermi level: 0.149 states/eV/atom. The value obtained for the energy is -6.201 eV per atom. Its uncorrected formation energy is -2.20 eV/atom.

The space group is I4/mmm (No. 139) and the conventional cell measures 4.0359, 4.0359 and 19.5765 Å, with angles of 90.00, 90.00 and 90.00 degrees. The distinct sites, in fractional coordinates, are Sr at (0.0000, 0.0000, 0.0000), Sr at (0.0000, 0.0000, 0.1808), Ge at (0.0000, 0.0000, 0.4024), O at (0.0000, 0.0000, 0.3066) and O at (0.0000, 0.5000, 0.0891).

Record 15
The following is a DFT calculation (PBE) of a relaxed SrGeO3 crystal.

As for the density of states at the Fermi level: 0.000 states/eV/atom. The value obtained for the energy is -6.492 eV per atom. Its uncorrected formation energy is -2.26 eV/atom.

The space group is P2_1/c (No. 14) and the conventional cell measures 6.9641, 5.1219 and 10.5169 Å, with angles of 90.00, 118.82 and 90.00 degrees. The distinct sites, in fractional coordinates, are Sr at (0.2201, 0.2371, 0.1384), Ge at (0.4080, 0.7492, 0.4956), O at (0.1739, 0.7469, 0.0196), O at (0.3428, 0.0627, 0.8807) and O at (0.4537, 0.5509, 0.8695).

Record 16
The following is a DFT calculation (PBE) of a relaxed Sr6Ge2O crystal.

As for the density of states at the Fermi level: 0.484 states/eV/atom. The value obtained for the energy is -3.473 eV per atom. Its uncorrected formation energy is -0.77 eV/atom.

The space group is P4_2/mnm (No. 136) and the conventional cell measures 7.0400, 7.0400 and 13.4501 Å, with angles of 90.00, 90.00 and 90.00 degrees. The distinct sites, in fractional coordinates, are Sr at (0.1885, 0.1885, 0.1443), Sr at (0.2137, 0.2137, 0.5000), Ge at (0.0000, 0.0000, 0.3278) and O at (0.0000, 0.0000, 0.0000).

Record 17
The following is a DFT calculation (PBE) of a relaxed Sr5Ge2O crystal.

As for the density of states at the Fermi level: 0.707 states/eV/atom. The value obtained for the energy is -3.623 eV per atom. Its uncorrected formation energy is -0.80 eV/atom.

The space group is Cmcm (No. 63) and the conventional cell measures 6.0705, 13.2160 and 14.3749 Å, with angles of 90.00, 90.00 and 90.00 degrees. The distinct sites, in fractional coordinates, are Sr at (0.0000, 0.0581, 0.1245), Sr at (0.0000, 0.2915, 0.7500), Sr at (0.0000, 0.3285, 0.1081), Ge at (0.0000, 0.1747, 0.5647) and O at (0.0000, 0.1902, 0.2500).

Record 18
The following is a DFT calculation (PBE) of a relaxed Sr6Ge3O crystal.

As for the density of states at the Fermi level: 0.292 states/eV/atom. The value obtained for the energy is -3.713 eV per atom. Its uncorrected formation energy is -0.82 eV/atom.

The space group is C2/m (No. 12) and the conventional cell measures 11.6960, 7.1885 and 7.6689 Å, with angles of 90.00, 104.08 and 90.00 degrees. The distinct sites, in fractional coordinates, are Sr at (0.0885, 0.2437, 0.3517), Sr at (0.2036, 0.0000, 0.8851), Ge at (0.0000, 0.5000, 0.0000), Ge at (0.1788, 0.5000, 0.7074) and O at (0.0000, 0.0000, 0.5000).

Record 19
The following is a DFT calculation (PBE) of a relaxed SrGeO3 crystal.

As for the density of states at the Fermi level: 0.000 states/eV/atom. The value obtained for the energy is -6.405 eV per atom. Its uncorrected formation energy is -2.17 eV/atom.

The space group is Pm-3m (No. 221) and the conventional cell measures 3.8179, 3.8179 and 3.8179 Å, with angles of 90.00, 90.00 and 90.00 degrees. The distinct sites, in fractional coordinates, are Sr at (0.0000, 0.0000, 0.0000), Ge at (0.5000, 0.5000, 0.5000) and O at (0.0000, 0.5000, 0.5000).

Record 20
The following is a DFT calculation (PBE) of a relaxed SrGeO3 crystal.

As for the density of states at the Fermi level: 0.000 states/eV/atom. The value obtained for the energy is -6.449 eV per atom. Its uncorrected formation energy is -2.21 eV/atom.

The space group is P-62m (No. 189) and the conventional cell measures 7.0468, 7.0468 and 5.7729 Å, with angles of 90.00, 90.00 and 120.00 degrees. The distinct sites, in fractional coordinates, are Sr at (0.0000, 0.3376, 0.0000), Ge at (0.0000, 0.7310, 0.5000), O at (0.0000, 0.2439, 0.5000) and O at (0.0000, 0.6380, 0.2214).